Entry 1:
# ReNiHg3 GGA-PBE relaxed
# Electronic total energy = -0.1705 Ry/atom
# SG = Pm-3m, No. 221
# ρ = 9.5 g/cm3
# E_form = 1.508 eV per atom
data_ReNiHg3
_chemical_formula_sum 'Re1 Ni1 Hg3'
_symmetry_space_group_name_H-M 'P 1'
_symmetry_Int_Tables_number 1
_symmetry_space_group_name_Hall 'P 1'
_cell_length_a 5.291
_cell_length_b 5.291
_cell_length_c 5.291
_cell_angle_alpha 90.00
_cell_angle_beta 90.00
_cell_angle_gamma 90.00
loop_
_atom_site_label
_atom_site_type_symbol
_atom_site_fract_x
_atom_site_fract_y
_atom_site_fract_z
Re1 Re 0.000 0.000 0.000
Hg1 Hg 0.000 0.500 0.000
Hg2 Hg 0.000 0.000 0.500
Hg3 Hg 0.500 0.000 0.000
Ni1 Ni 0.500 0.500 0.500

---

Entry 2:
# AcTl2InBr6 GGA-PBE relaxed
# Electronic total energy = -0.2534 Ry/atom
# SG = P2_1/c, No. 14
# E_form (uncorrected) = -1.286 eV/atom
# ρ = 5.0 g/cm3
data_AcTl2InBr6
_chemical_formula_sum 'Ac2 Tl4 In2 Br12'
_symmetry_space_group_name_H-M 'P 1'
_symmetry_Int_Tables_number 1
_symmetry_space_group_name_Hall 'P 1'
_cell_length_a 8.033
_cell_length_b 8.751
_cell_length_c 11.622
_cell_angle_alpha 90.00
_cell_angle_beta 86.36
_cell_angle_gamma 90.00
loop_
_atom_site_label
_atom_site_type_symbol
_atom_site_fract_x
_atom_site_fract_y
_atom_site_fract_z
Ac1 Ac 0.500 0.000 0.500
Ac2 Ac 0.000 0.500 0.000
Tl1 Tl 0.027 0.923 0.273
Tl2 Tl 0.527 0.577 0.773
Tl3 Tl 0.973 0.077 0.727
Tl4 Tl 0.473 0.423 0.227
In1 In 0.500 0.000 0.000
In2 In 0.000 0.500 0.500
Br1 Br 0.317 0.672 0.048
Br2 Br 0.817 0.828 0.548
Br3 Br 0.683 0.328 0.952
Br4 Br 0.183 0.172 0.452
Br5 Br 0.330 0.714 0.412
Br6 Br 0.830 0.786 0.912
Br7 Br 0.670 0.286 0.588
Br8 Br 0.170 0.214 0.088
Br9 Br 0.852 0.570 0.242
Br10 Br 0.352 0.930 0.742
Br11 Br 0.148 0.430 0.758
Br12 Br 0.648 0.070 0.258

---

Entry 3:
# NiRu3 GGA-PBE relaxed
# Electronic total energy = -0.5907 Ry/atom
# SG = Pm-3n, No. 223
# ρ = 11.0 g/cm3
# E_form = 0.365 eV per atom
data_NiRu3
_chemical_formula_sum 'Ni2 Ru6'
_symmetry_space_group_name_H-M 'P 1'
_symmetry_Int_Tables_number 1
_symmetry_space_group_name_Hall 'P 1'
_cell_length_a 4.775
_cell_length_b 4.775
_cell_length_c 4.775
_cell_angle_alpha 90.00
_cell_angle_beta 90.00
_cell_angle_gamma 90.00
loop_
_atom_site_label
_atom_site_type_symbol
_atom_site_fract_x
_atom_site_fract_y
_atom_site_fract_z
Ni1 Ni 0.000 0.000 0.000
Ni2 Ni 0.500 0.500 0.500
Ru1 Ru 0.000 0.250 0.500
Ru2 Ru 0.000 0.750 0.500
Ru3 Ru 0.250 0.500 0.000
Ru4 Ru 0.500 0.000 0.250
Ru5 Ru 0.500 0.000 0.750
Ru6 Ru 0.750 0.500 0.000

---

Entry 4:
# PrDyNiGe GGA-PBE relaxed
# Electronic total energy = -0.3975 Ry/atom
# SG = F-43m, No. 216
# ρ = 8.0 g/cm3
# E_form = -0.463 eV per atom
data_PrDyNiGe
_chemical_formula_sum 'Pr1 Dy1 Ni1 Ge1'
_symmetry_space_group_name_H-M 'P 1'
_symmetry_Int_Tables_number 1
_symmetry_space_group_name_Hall 'P 1'
_cell_length_a 5.041
_cell_length_b 5.041
_cell_length_c 5.041
_cell_angle_alpha 60.00
_cell_angle_beta 60.00
_cell_angle_gamma 60.00
loop_
_atom_site_label
_atom_site_type_symbol
_atom_site_fract_x
_atom_site_fract_y
_atom_site_fract_z
Pr1 Pr 0.000 0.000 0.000
Ni1 Ni 0.750 0.750 0.750
Ge1 Ge 0.250 0.250 0.250
Dy1 Dy 0.500 0.500 0.500

---

Entry 5:
# SmDy3Y5 GGA-PBE relaxed
# Electronic total energy = -0.4106 Ry/atom
# SG = P6_3/mcm, No. 193
# ρ = 6.2 g/cm3
# E_form = 0.063 eV per atom
data_SmDy3Y5
_chemical_formula_sum 'Sm2 Dy6 Y10'
_symmetry_space_group_name_H-M 'P 1'
_symmetry_Int_Tables_number 1
_symmetry_space_group_name_Hall 'P 1'
_cell_length_a 7.034
_cell_length_b 9.755
_cell_length_c 9.755
_cell_angle_alpha 120.00
_cell_angle_beta 90.00
_cell_angle_gamma 90.00
loop_
_atom_site_label
_atom_site_type_symbol
_atom_site_fract_x
_atom_site_fract_y
_atom_site_fract_z
Sm1 Sm 0.000 0.000 0.000
Sm2 Sm 0.500 0.000 0.000
Dy1 Dy 0.750 0.354 0.000
Dy2 Dy 0.750 0.646 0.646
Dy3 Dy 0.750 0.000 0.354
Dy4 Dy 0.250 0.646 0.000
Dy5 Dy 0.250 0.354 0.354
Dy6 Dy 0.250 0.000 0.646
Y1 Y 0.000 0.333 0.667
Y2 Y 0.500 0.667 0.333
Y3 Y 0.000 0.667 0.333
Y4 Y 0.500 0.333 0.667
Y5 Y 0.750 0.685 0.000
Y6 Y 0.750 0.315 0.315
Y7 Y 0.750 0.000 0.685
Y8 Y 0.250 0.315 0.000
Y9 Y 0.250 0.685 0.685
Y10 Y 0.250 0.000 0.315

---

Entry 6:
# Er8ZnP3Se4 GGA-PBE relaxed
# Electronic total energy = -0.4255 Ry/atom
# SG = R-3m, No. 166
# E_form (uncorrected) = -1.543 eV/atom
# ρ = 8.2 g/cm3
data_Er8ZnP3Se4
_chemical_formula_sum 'Er8 Zn1 P3 Se4'
_symmetry_space_group_name_H-M 'P 1'
_symmetry_Int_Tables_number 1
_symmetry_space_group_name_Hall 'P 1'
_cell_length_a 8.007
_cell_length_b 8.080
_cell_length_c 8.008
_cell_angle_alpha 119.70
_cell_angle_beta 120.00
_cell_angle_gamma 90.00
loop_
_atom_site_label
_atom_site_type_symbol
_atom_site_fract_x
_atom_site_fract_y
_atom_site_fract_z
Er1 Er 0.247 0.735 0.989
Er2 Er 0.247 0.735 0.493
Er3 Er 0.258 0.273 0.515
Er4 Er 0.742 0.735 0.989
Er5 Er 0.258 0.265 0.011
Er6 Er 0.742 0.727 0.485
Er7 Er 0.753 0.265 0.507
Er8 Er 0.753 0.265 0.011
Zn1 Zn 0.000 0.500 0.000
P1 P 0.500 0.500 0.000
P2 P 0.500 0.500 0.500
P3 P 0.000 0.500 0.500
Se1 Se 0.500 0.000 0.000
Se2 Se 0.500 0.000 0.500
Se3 Se 0.000 0.000 0.000
Se4 Se 0.000 0.000 0.500

---

Entry 7:
# LaSbCl2 GGA-PBE relaxed
# Electronic total energy = -0.3215 Ry/atom
# SG = Pmmm, No. 47
# E_form (uncorrected) = -1.188 eV/atom
# ρ = 5.4 g/cm3
data_LaSbCl2
_chemical_formula_sum 'La1 Sb1 Cl2'
_symmetry_space_group_name_H-M 'P 1'
_symmetry_Int_Tables_number 1
_symmetry_space_group_name_Hall 'P 1'
_cell_length_a 3.666
_cell_length_b 5.811
_cell_length_c 4.827
_cell_angle_alpha 90.00
_cell_angle_beta 90.00
_cell_angle_gamma 90.00
loop_
_atom_site_label
_atom_site_type_symbol
_atom_site_fract_x
_atom_site_fract_y
_atom_site_fract_z
Sb1 Sb 0.000 0.500 0.500
Cl1 Cl 0.000 0.000 0.000
Cl2 Cl 0.500 0.500 0.000
La1 La 0.500 0.000 0.500

---

Entry 8:
# SiSnPd5 GGA-PBE relaxed
# Electronic total energy = -0.3943 Ry/atom
# SG = C2/c, No. 15
# E_form (uncorrected) = -0.309 eV/atom
# ρ = 9.3 g/cm3
data_SiSnPd5
_chemical_formula_sum 'Si2 Sn2 Pd10'
_symmetry_space_group_name_H-M 'P 1'
_symmetry_Int_Tables_number 1
_symmetry_space_group_name_Hall 'P 1'
_cell_length_a 5.554
_cell_length_b 5.554
_cell_length_c 9.837
_cell_angle_alpha 64.85
_cell_angle_beta 64.85
_cell_angle_gamma 69.67
loop_
_atom_site_label
_atom_site_type_symbol
_atom_site_fract_x
_atom_site_fract_y
_atom_site_fract_z
Si1 Si 0.000 0.000 0.000
Si2 Si 0.000 0.000 0.500
Sn1 Sn 0.657 0.343 0.250
Sn2 Sn 0.343 0.657 0.750
Pd1 Pd 0.628 0.843 0.236
Pd2 Pd 0.255 0.521 0.488
Pd3 Pd 0.843 0.628 0.736
Pd4 Pd 0.075 0.925 0.250
Pd5 Pd 0.479 0.745 0.012
Pd6 Pd 0.521 0.255 0.988
Pd7 Pd 0.925 0.075 0.750
Pd8 Pd 0.157 0.372 0.264
Pd9 Pd 0.745 0.479 0.512
Pd10 Pd 0.372 0.157 0.764